# 1
Entry from Alexandria: a relaxed V3Mo2Rh crystal (GGA-PBE).

a b c (Å): 3.0672 3.0672 9.1558
angles (deg): 90.00 90.00 90.00
Space group P4/mmm (No. 123)
Unique sites:
V 0.0000 0.0000 0.0000 [1 per cell]
V 0.0000 0.0000 0.3272 [2 per cell]
Mo 0.5000 0.5000 0.1697 [2 per cell]
Rh 0.5000 0.5000 0.5000 [1 per cell]

calculated total energy: -57.59 eV for the cell shown
M_tot: 0.00 μB/f.u.
mass density: 8.629 g/cm³
formation energy from the elements: -0.20 eV per atom

=====

# 2
Entry from Alexandria: a relaxed Cs2Bi5Pt3 crystal (GGA-PBE).

a b c (Å): 11.3103 14.8521 7.3376
angles (deg): 90.00 90.00 90.00
Space group Ibam (No. 72)
Unique sites:
Cs 0.2432 0.1320 0.0000 [8 per cell]
Bi 0.0000 0.2629 0.2500 [8 per cell]
Bi 0.0000 0.5000 0.2500 [4 per cell]
Bi 0.1329 0.1027 0.5000 [8 per cell]
Pt 0.0000 0.0000 0.2500 [4 per cell]
Pt 0.1110 0.3793 0.0000 [8 per cell]

calculated total energy: -166.96 eV for the cell shown
M_tot: 0.00 μB/f.u.
mass density: 10.217 g/cm³
formation energy from the elements: -0.25 eV per atom

=====

# 3
Entry from Alexandria: a relaxed YZnP2 crystal (GGA-PBE).

a b c (Å): 6.8700 6.8700 6.7477
angles (deg): 90.00 90.00 90.00
Space group I-42d (No. 122)
Unique sites:
Y 0.0000 0.0000 0.0000 [4 per cell]
Zn 0.0000 0.0000 0.5000 [4 per cell]
P 0.1997 0.2500 0.6250 [8 per cell]

calculated total energy: -83.69 eV for the cell shown
M_tot: 0.00 μB/f.u.
mass density: 4.510 g/cm³
formation energy from the elements: -0.59 eV per atom